# Fe3BiSb | Alexandria | GGA-PBE | optimized geometry
data_Fe3BiSb
_space_group_name_H-M_alt 'P m -3 m'
_space_group_IT_number 221
_space_group_name_Hall '-P 4 2 3'
_cell_length_a 4.7698
_cell_length_b 4.7698
_cell_length_c 4.7698
_cell_angle_alpha 90.00
_cell_angle_beta 90.00
_cell_angle_gamma 90.00
loop_
_atom_site_label
_atom_site_type_symbol
_atom_site_fract_x
_atom_site_fract_y
_atom_site_fract_z
_atom_site_occupancy
Fe1 Fe 0.0000 0.0000 0.5000 1
Bi1 Bi 0.5000 0.5000 0.5000 1
Sb1 Sb 0.0000 0.0000 0.0000 1
# Offset from the most stable computed form (eV per formula unit): 0.00

# ZrCuAs | Alexandria | GGA-PBE | optimized geometry
data_ZrCuAs
_space_group_name_H-M_alt 'P 3 m 1'
_space_group_IT_number 156
_space_group_name_Hall 'P 3 -2"'
_cell_length_a 3.9996
_cell_length_b 3.9996
_cell_length_c 3.6383
_cell_angle_alpha 90.00
_cell_angle_beta 90.00
_cell_angle_gamma 120.00
loop_
_atom_site_label
_atom_site_type_symbol
_atom_site_fract_x
_atom_site_fract_y
_atom_site_fract_z
_atom_site_occupancy
Zr1 Zr 0.0000 0.0000 0.0000 1
Cu1 Cu 0.6667 0.3333 0.4968 1
As1 As 0.3333 0.6667 0.5017 1
# Calculated formation energy (meV/atom): -632.8

Uncorrected energy readings, ordered: -5.6171, -6.3974 eV per atom
N(E_F) readings, ordered: 5.7, 0.2 states/eV/cell